Record 1
Entry from Alexandria: a geometry-optimized SrTi structure (GGA-PBE).

Output
Fermi-level density of states   8.77 states/eV per cell
Energy above the lowest structure with this stoichiometry   645 meV/atom

a = 6.649 Å, b = 6.649 Å, c = 6.586 Å
α = 90.00°, β = 90.00°, γ = 90.00°
Space group P4_2/mnm (No. 136)
Symmetry-distinct sites (fractional):
Sr 0.175 0.175 0.000 x4
Ti 0.115 0.115 0.500 x4



Record 2
Entry from Alexandria: a geometry-optimized SrTi structure (GGA-PBE).

Output
Fermi-level density of states   5.82 states/eV per cell
Energy above the lowest structure with this stoichiometry   213 meV/atom

a = 3.412 Å, b = 6.192 Å, c = 6.193 Å
α = 106.22°, β = 95.25°, γ = 95.29°
Space group P-1 (No. 2)
Symmetry-distinct sites (fractional):
Sr 0.004 0.193 0.308 x2
Ti 0.394 0.632 0.130 x2



Among the records above, which one has the highest Fermi-level density of states? number 1